1.
# PBE-GGA KInRuO6, relaxed
data_KInRuO6
_chemical_formula_sum 'K1 In1 Ru1 O6'
_symmetry_space_group_name_H-M 'P 1'
_symmetry_Int_Tables_number 1
_symmetry_space_group_name_Hall 'P 1'
_cell_length_a 5.565
_cell_length_b 5.565
_cell_length_c 5.722
_cell_angle_alpha 90.00
_cell_angle_beta 89.99
_cell_angle_gamma 59.99
loop_
_atom_site_label
_atom_site_fract_x
_atom_site_fract_y
_atom_site_fract_z
_atom_site_occupancy
O1 0.390 0.029 0.694 1
O2 0.580 0.048 0.307 1
K1 0.000 0.000 0.006 1
O3 0.029 0.580 0.694 1
O4 0.048 0.373 0.307 1
Ru1 0.333 0.333 0.522 1
O5 0.372 0.580 0.307 1
O6 0.580 0.390 0.694 1
In1 0.667 0.667 0.469 1
# SG: P3
# DFT total energy (eV for the cell shown): -51.28
# E_form (uncorrected) (eV/atom): -0.9357
# Magnetic moment (μB/cell): 0.00

2.
# PBE-GGA KInRu2O8, relaxed
data_KInRu2O8
_chemical_formula_sum 'K1 In1 Ru2 O8'
_symmetry_space_group_name_H-M 'P 1'
_symmetry_Int_Tables_number 1
_symmetry_space_group_name_Hall 'P 1'
_cell_length_a 5.316
_cell_length_b 5.316
_cell_length_c 7.402
_cell_angle_alpha 72.22
_cell_angle_beta 72.22
_cell_angle_gamma 72.96
loop_
_atom_site_label
_atom_site_fract_x
_atom_site_fract_y
_atom_site_fract_z
_atom_site_occupancy
O1 0.348 0.348 0.564 1
Ru1 0.545 0.545 0.266 1
O2 0.259 0.259 0.958 1
Ru2 0.455 0.455 0.734 1
O3 0.297 0.790 0.770 1
K1 0.000 0.000 0.500 1
In1 0.000 0.000 0.000 1
O4 0.652 0.652 0.436 1
O5 0.703 0.210 0.230 1
O6 0.741 0.741 0.042 1
O7 0.790 0.297 0.770 1
O8 0.210 0.703 0.230 1
# SG: C2/m
# DFT total energy (eV for the cell shown): -74.20
# E_form (uncorrected) (eV/atom): -1.0124
# Magnetic moment (μB/cell): 1.08

3.
# PBE-GGA K3In3RuO8, relaxed
data_K3In3RuO8
_chemical_formula_sum 'K3 In3 Ru1 O8'
_symmetry_space_group_name_H-M 'P 1'
_symmetry_Int_Tables_number 1
_symmetry_space_group_name_Hall 'P 1'
_cell_length_a 6.590
_cell_length_b 6.591
_cell_length_c 7.301
_cell_angle_alpha 116.84
_cell_angle_beta 90.00
_cell_angle_gamma 120.00
loop_
_atom_site_label
_atom_site_fract_x
_atom_site_fract_y
_atom_site_fract_z
_atom_site_occupancy
O1 0.272 0.545 0.317 1
O2 0.211 0.962 0.673 1
K1 0.500 0.500 0.000 1
O3 0.211 0.423 0.673 1
K2 0.000 0.000 0.000 1
In1 0.000 0.500 0.500 1
O4 0.789 0.038 0.327 1
Ru1 0.000 0.000 0.500 1
O5 0.789 0.577 0.327 1
K3 0.000 0.500 0.000 1
In2 0.500 0.500 0.500 1
O6 0.249 0.038 0.327 1
O7 0.751 0.962 0.673 1
O8 0.728 0.455 0.683 1
In3 0.500 0.000 0.500 1
# SG: R-3m
# DFT total energy (eV for the cell shown): -82.15
# E_form (uncorrected) (eV/atom): -1.4467
# Magnetic moment (μB/cell): 2.00

4.
# PBE-GGA KIn2RuO8, relaxed
data_KIn2RuO8
_chemical_formula_sum 'K1 In2 Ru1 O8'
_symmetry_space_group_name_H-M 'P 1'
_symmetry_Int_Tables_number 1
_symmetry_space_group_name_Hall 'P 1'
_cell_length_a 5.146
_cell_length_b 4.442
_cell_length_c 7.012
_cell_angle_alpha 89.86
_cell_angle_beta 89.98
_cell_angle_gamma 90.99
loop_
_atom_site_label
_atom_site_fract_x
_atom_site_fract_y
_atom_site_fract_z
_atom_site_occupancy
O1 0.138 0.754 0.814 1
O2 0.673 0.755 0.000 1
In1 0.500 0.500 0.759 1
O3 0.862 0.246 0.186 1
In2 0.500 0.500 0.241 1
O4 0.137 0.753 0.187 1
O5 0.327 0.245 0.000 1
O6 0.478 0.229 0.500 1
Ru1 0.000 0.000 0.000 1
K1 0.000 0.000 0.500 1
O7 0.863 0.247 0.813 1
O8 0.522 0.771 0.500 1
# SG: P-1
# DFT total energy (eV for the cell shown): -66.16
# E_form (uncorrected) (eV/atom): -0.8873
# Magnetic moment (μB/cell): 0.00

5.
# PBE-GGA KInRuO2, relaxed
data_KInRuO2
_chemical_formula_sum 'K1 In1 Ru1 O2'
_symmetry_space_group_name_H-M 'P 1'
_symmetry_Int_Tables_number 1
_symmetry_space_group_name_Hall 'P 1'
_cell_length_a 4.398
_cell_length_b 5.544
_cell_length_c 4.398
_cell_angle_alpha 90.00
_cell_angle_beta 90.00
_cell_angle_gamma 90.00
loop_
_atom_site_label
_atom_site_fract_x
_atom_site_fract_y
_atom_site_fract_z
_atom_site_occupancy
K1 0.000 0.000 0.000 1
In1 0.000 0.500 0.000 1
O1 0.500 0.000 0.000 1
Ru1 0.500 0.500 0.500 1
O2 0.000 0.000 0.500 1
# SG: P4/mmm
# DFT total energy (eV for the cell shown): -16.16
# E_form (uncorrected) (eV/atom): 1.3732
# Magnetic moment (μB/cell): 2.26

6.
# PBE-GGA K2InSO6, relaxed
data_K2InSO6
_chemical_formula_sum 'K2 In1 S1 O6'
_symmetry_space_group_name_H-M 'P 1'
_symmetry_Int_Tables_number 1
_symmetry_space_group_name_Hall 'P 1'
_cell_length_a 5.406
_cell_length_b 6.080
_cell_length_c 6.080
_cell_angle_alpha 120.00
_cell_angle_beta 90.00
_cell_angle_gamma 90.00
loop_
_atom_site_label
_atom_site_fract_x
_atom_site_fract_y
_atom_site_fract_z
_atom_site_occupancy
O1 0.184 0.869 0.131 1
S1 0.000 0.000 0.000 1
O2 0.816 0.739 0.869 1
O3 0.816 0.131 0.869 1
O4 0.816 0.131 0.261 1
K1 0.129 0.333 0.667 1
K2 0.871 0.667 0.333 1
O5 0.184 0.869 0.739 1
In1 0.500 0.000 0.000 1
O6 0.184 0.261 0.131 1
# SG: P-3m1
# DFT total energy (eV for the cell shown): -50.50
# E_form (uncorrected) (eV/atom): -1.1687
# Magnetic moment (μB/cell): 1.05

7.
# PBE-GGA K2InSb2O6, relaxed
data_K2InSb2O6
_chemical_formula_sum 'K2 In1 Sb2 O6'
_symmetry_space_group_name_H-M 'P 1'
_symmetry_Int_Tables_number 1
_symmetry_space_group_name_Hall 'P 1'
_cell_length_a 6.177
_cell_length_b 5.750
_cell_length_c 7.132
_cell_angle_alpha 110.12
_cell_angle_beta 90.00
_cell_angle_gamma 122.49
loop_
_atom_site_label
_atom_site_fract_x
_atom_site_fract_y
_atom_site_fract_z
_atom_site_occupancy
In1 0.500 0.000 0.500 1
O1 0.705 0.908 0.256 1
O2 0.731 0.463 0.517 1
Sb1 0.077 0.154 0.248 1
O3 0.295 0.092 0.744 1
O4 0.269 0.537 0.483 1
O5 0.203 0.908 0.256 1
O6 0.797 0.092 0.744 1
K1 0.692 0.385 0.125 1
K2 0.308 0.615 0.875 1
Sb2 0.923 0.846 0.752 1
# SG: C2/m
# DFT total energy (eV for the cell shown): -57.92
# E_form (uncorrected) (eV/atom): -1.3627
# Magnetic moment (μB/cell): 0.89

8.
# PBE-GGA K3In3SbO8, relaxed
data_K3In3SbO8
_chemical_formula_sum 'K3 In3 Sb1 O8'
_symmetry_space_group_name_H-M 'P 1'
_symmetry_Int_Tables_number 1
_symmetry_space_group_name_Hall 'P 1'
_cell_length_a 6.687
_cell_length_b 6.689
_cell_length_c 7.424
_cell_angle_alpha 116.78
_cell_angle_beta 89.99
_cell_angle_gamma 120.00
loop_
_atom_site_label
_atom_site_fract_x
_atom_site_fract_y
_atom_site_fract_z
_atom_site_occupancy
O1 0.786 0.038 0.325 1
O2 0.214 0.962 0.675 1
O3 0.786 0.572 0.325 1
In1 0.000 0.500 0.500 1
O4 0.214 0.428 0.675 1
In2 0.500 0.000 0.500 1
Sb1 0.000 0.000 0.500 1
K1 0.500 0.500 0.000 1
O5 0.726 0.451 0.676 1
K2 0.000 0.000 0.000 1
O6 0.253 0.039 0.325 1
K3 0.000 0.500 0.000 1
O7 0.747 0.961 0.675 1
O8 0.274 0.549 0.324 1
In3 0.500 0.500 0.500 1
# SG: R-3m
# DFT total energy (eV for the cell shown): -78.40
# E_form (uncorrected) (eV/atom): -1.5401
# Magnetic moment (μB/cell): 0.00

9.
# PBE-GGA KScIn4O8, relaxed
data_KScIn4O8
_chemical_formula_sum 'K1 Sc1 In4 O8'
_symmetry_space_group_name_H-M 'P 1'
_symmetry_Int_Tables_number 1
_symmetry_space_group_name_Hall 'P 1'
_cell_length_a 6.692
_cell_length_b 6.692
_cell_length_c 6.600
_cell_angle_alpha 59.54
_cell_angle_beta 59.54
_cell_angle_gamma 60.00
loop_
_atom_site_label
_atom_site_fract_x
_atom_site_fract_y
_atom_site_fract_z
_atom_site_occupancy
O1 0.222 0.222 0.743 1
In1 0.004 0.490 0.501 1
O2 0.222 0.813 0.743 1
K1 0.381 0.381 0.857 1
O3 0.813 0.222 0.743 1
In2 0.004 0.004 0.501 1
O4 0.224 0.758 0.259 1
Sc1 0.007 0.007 0.980 1
O5 0.758 0.224 0.259 1
O6 0.758 0.758 0.259 1
In3 0.490 0.004 0.501 1
O7 0.759 0.759 0.722 1
O8 0.232 0.232 0.303 1
In4 0.623 0.623 0.131 1
# SG: R3m
# DFT total energy (eV for the cell shown): -83.22
# E_form (uncorrected) (eV/atom): -1.7981
# Magnetic moment (μB/cell): 0.07

10.
# PBE-GGA KInSe2O8, relaxed
data_KInSe2O8
_chemical_formula_sum 'K1 In1 Se2 O8'
_symmetry_space_group_name_H-M 'P 1'
_symmetry_Int_Tables_number 1
_symmetry_space_group_name_Hall 'P 1'
_cell_length_a 5.158
_cell_length_b 5.158
_cell_length_c 9.011
_cell_angle_alpha 73.37
_cell_angle_beta 73.37
_cell_angle_gamma 60.00
loop_
_atom_site_label
_atom_site_fract_x
_atom_site_fract_y
_atom_site_fract_z
_atom_site_occupancy
O1 0.804 0.804 0.587 1
Se1 0.740 0.740 0.780 1
K1 0.500 0.500 0.500 1
O2 0.270 0.979 0.155 1
O3 0.021 0.403 0.845 1
O4 0.196 0.196 0.413 1
Se2 0.260 0.260 0.220 1
O5 0.403 0.730 0.845 1
O6 0.730 0.021 0.845 1
In1 0.000 0.000 0.000 1
O7 0.979 0.597 0.155 1
O8 0.597 0.270 0.155 1
# SG: R-3
# DFT total energy (eV for the cell shown): -63.26
# E_form (uncorrected) (eV/atom): -1.0661
# Magnetic moment (μB/cell): 0.00

11.
# PBE-GGA KInSi2O, relaxed
data_KInSi2O
_chemical_formula_sum 'K1 In1 Si2 O1'
_symmetry_space_group_name_H-M 'P 1'
_symmetry_Int_Tables_number 1
_symmetry_space_group_name_Hall 'P 1'
_cell_length_a 4.435
_cell_length_b 5.367
_cell_length_c 4.435
_cell_angle_alpha 90.00
_cell_angle_beta 90.00
_cell_angle_gamma 90.00
loop_
_atom_site_label
_atom_site_fract_x
_atom_site_fract_y
_atom_site_fract_z
_atom_site_occupancy
O1 0.000 0.000 0.000 1
In1 0.000 0.500 0.000 1
K1 0.500 0.500 0.500 1
Si1 0.000 0.000 0.500 1
Si2 0.500 0.000 0.000 1
# SG: P4/mmm
# DFT total energy (eV for the cell shown): -18.52
# E_form (uncorrected) (eV/atom): 0.2245
# Magnetic moment (μB/cell): 0.00

12.
# PBE-GGA KInSiO4, relaxed
data_KInSiO4
_chemical_formula_sum 'K2 In2 Si2 O8'
_symmetry_space_group_name_H-M 'P 1'
_symmetry_Int_Tables_number 1
_symmetry_space_group_name_Hall 'P 1'
_cell_length_a 5.437
_cell_length_b 5.708
_cell_length_c 7.264
_cell_angle_alpha 90.00
_cell_angle_beta 107.44
_cell_angle_gamma 90.00
loop_
_atom_site_label
_atom_site_fract_x
_atom_site_fract_y
_atom_site_fract_z
_atom_site_occupancy
O1 0.047 0.972 0.321 1
K1 0.691 0.750 0.934 1
O2 0.047 0.528 0.321 1
In1 0.796 0.750 0.462 1
Si1 0.743 0.250 0.654 1
In2 0.204 0.250 0.538 1
Si2 0.257 0.750 0.346 1
O3 0.560 0.250 0.798 1
O4 0.458 0.750 0.565 1
K2 0.309 0.250 0.066 1
O5 0.953 0.472 0.679 1
O6 0.542 0.250 0.435 1
O7 0.440 0.750 0.202 1
O8 0.953 0.028 0.679 1
# SG: P2_1/m
# DFT total energy (eV for the cell shown): -87.74
# E_form (uncorrected) (eV/atom): -2.1115
# Magnetic moment (μB/cell): 0.00